Entry from Alexandria via LeMat-Bulk: TaMnSCl2 after structural relaxation (PBE).

Cell lengths 4.6513, 4.6513, 4.9850 Å; angles 90.00, 90.00, 90.00 degrees
Element x y z (fractional)
1 Ta 0.0000 0.0000 0.0000
2 Mn 0.5000 0.5000 0.5000
3 S 0.5000 0.5000 0.0000
4 Cl 0.0000 0.5000 0.5000
5 Cl 0.5000 0.0000 0.5000

raw total energy = -5.29 eV/atom
raw formation energy = 0.478 eV/atom
E above lowest polymorph = 543 meV per atom
DOS at the Fermi energy = 5.7 states/eV/f.u.
space group = P4/mmm (123)

Entry from Alexandria via LeMat-Bulk: MnTeSCl2 after structural relaxation (PBE).

Cell lengths 4.6065, 4.6065, 4.5788 Å; angles 90.00, 90.00, 90.00 degrees
Element x y z (fractional)
1 Mn 0.0000 0.0000 0.0000
2 Te 0.5000 0.5000 0.5000
3 S 0.0000 0.0000 0.5000
4 Cl 0.0000 0.5000 0.0000
5 Cl 0.5000 0.0000 0.0000

raw total energy = -3.90 eV/atom
raw formation energy = 0.130 eV/atom
E above lowest polymorph = 0 meV per atom
DOS at the Fermi energy = 5.6 states/eV/f.u.
space group = P4/mmm (123)

Entry from Alexandria via LeMat-Bulk: MnTeSCl2 after structural relaxation (PBE).

Cell lengths 5.3200, 5.3200, 5.2423 Å; angles 90.00, 90.00, 90.00 degrees
Element x y z (fractional)
1 Mn 0.0000 0.0000 0.0000
2 Te 0.5000 0.5000 0.5000
3 S 0.5000 0.5000 0.0000
4 Cl 0.0000 0.5000 0.5000
5 Cl 0.5000 0.0000 0.5000

raw total energy = -3.69 eV/atom
raw formation energy = 0.332 eV/atom
E above lowest polymorph = 203 meV per atom
DOS at the Fermi energy = 2.4 states/eV/f.u.
space group = P4/mmm (123)

Entry from Alexandria via LeMat-Bulk: TiMnSCl2 after structural relaxation (PBE).

Cell lengths 4.7331, 4.7331, 4.9472 Å; angles 90.00, 90.00, 90.00 degrees
Element x y z (fractional)
1 Ti 0.0000 0.0000 0.0000
2 Mn 0.5000 0.5000 0.5000
3 S 0.5000 0.5000 0.0000
4 Cl 0.0000 0.5000 0.5000
5 Cl 0.5000 0.0000 0.5000

raw total energy = -5.20 eV/atom
raw formation energy = -0.227 eV/atom
E above lowest polymorph = 279 meV per atom
DOS at the Fermi energy = 7.5 states/eV/f.u.
space group = P4/mmm (123)